Material: Ho3Sc2Al3O12
Method: DFT, SCAN
State: PBEsol geometry

Values from the calculation:
The value obtained for the formation energy (no corrections) is -3.7595 eV/atom. Its space-group type is Ia-3d. As for the theoretical density: 6.2 g cm⁻³.

```
data_Ho3Sc2Al3O12
_chemical_formula_sum 'Ho12 Sc8 Al12 O48'
_cell_length_a 10.6110
_cell_length_b 10.6110
_cell_length_c 10.6110
_cell_angle_alpha 109.47
_cell_angle_beta 109.47
_cell_angle_gamma 109.47
_space_group_name_H-M_alt 'P 1'
_space_group_IT_number 1
loop_
_space_group_symop_operation_xyz
'x,y,z'
loop_
_atom_site_label
_atom_site_fract_x
_atom_site_fract_y
_atom_site_fract_z
_atom_site_occupancy
Ho1 0.7500 0.8750 0.1250 1
Ho2 0.2500 0.1250 0.8750 1
Ho3 0.2500 0.6250 0.3750 1
Ho4 0.8750 0.2500 0.1250 1
Ho5 0.6250 0.7500 0.3750 1
Ho6 0.7500 0.3750 0.6250 1
Ho7 0.1250 0.7500 0.8750 1
Ho8 0.3750 0.2500 0.6250 1
Ho9 0.6250 0.8750 0.7500 1
Ho10 0.3750 0.1250 0.2500 1
Ho11 0.8750 0.6250 0.2500 1
Ho12 0.1250 0.3750 0.7500 1
Sc1 0.0000 0.0000 0.0000 1
Sc2 0.5000 0.0000 0.5000 1
Sc3 0.0000 0.5000 0.5000 1
Sc4 0.5000 0.5000 0.5000 1
Sc5 0.5000 0.5000 0.0000 1
Sc6 0.5000 0.0000 0.0000 1
Sc7 0.0000 0.5000 0.0000 1
Sc8 0.0000 0.0000 0.5000 1
Al1 0.7500 0.1250 0.3750 1
Al2 0.2500 0.8750 0.6250 1
Al3 0.2500 0.3750 0.1250 1
Al4 0.6250 0.2500 0.8750 1
Al5 0.3750 0.7500 0.1250 1
Al6 0.7500 0.6250 0.8750 1
Al7 0.8750 0.7500 0.6250 1
Al8 0.1250 0.2500 0.3750 1
Al9 0.3750 0.6250 0.7500 1
Al10 0.6250 0.3750 0.2500 1
Al11 0.1250 0.8750 0.2500 1
Al12 0.8750 0.1250 0.7500 1
O1 0.5279 0.8125 0.9016 1
O2 0.4721 0.1875 0.0984 1
O3 0.4109 0.6262 0.5984 1
O4 0.0891 0.6875 0.2153 1
O5 0.7153 0.0891 0.1875 1
O6 0.6875 0.9721 0.5984 1
O7 0.5891 0.3738 0.4016 1
O8 0.9109 0.3125 0.7847 1
O9 0.2847 0.9109 0.8125 1
O10 0.3125 0.0279 0.4016 1
O11 0.9721 0.8738 0.2847 1
O12 0.7847 0.9721 0.3738 1
O13 0.8738 0.0891 0.9016 1
O14 0.0279 0.1262 0.7153 1
O15 0.2153 0.0279 0.6262 1
O16 0.1262 0.9109 0.0984 1
O17 0.4016 0.5279 0.3125 1
O18 0.8125 0.4109 0.2847 1
O19 0.5984 0.4721 0.6875 1
O20 0.1875 0.5891 0.7153 1
O21 0.0984 0.4109 0.1262 1
O22 0.6262 0.5279 0.2153 1
O23 0.9016 0.5891 0.8738 1
O24 0.3738 0.4721 0.7847 1
O25 0.6262 0.0984 0.9109 1
O26 0.4109 0.7847 0.3125 1
O27 0.3738 0.9016 0.0891 1
O28 0.5891 0.2153 0.6875 1
O29 0.8738 0.7847 0.4721 1
O30 0.9721 0.0984 0.1875 1
O31 0.1262 0.2153 0.5279 1
O32 0.0279 0.9016 0.8125 1
O33 0.6875 0.7153 0.5891 1
O34 0.0891 0.4016 0.3738 1
O35 0.3125 0.2847 0.4109 1
O36 0.9109 0.5984 0.6262 1
O37 0.8125 0.4016 0.0279 1
O38 0.5279 0.7153 0.1262 1
O39 0.1875 0.5984 0.9721 1
O40 0.4721 0.2847 0.8738 1
O41 0.7153 0.6262 0.0279 1
O42 0.2847 0.3738 0.9721 1
O43 0.7847 0.8125 0.9109 1
O44 0.2153 0.1875 0.0891 1
O45 0.0984 0.6875 0.4721 1
O46 0.9016 0.3125 0.5279 1
O47 0.4016 0.8738 0.5891 1
O48 0.5984 0.1262 0.4109 1
```